Entry 1:
Below is crystalline VTeSe2 at its relaxed geometry, with properties calculated at the GGA-PBE level.

Calculated values
As for the uncorrected formation energy: -0.354 eV per atom. The raw total energy comes out at -20.6 eV per formula unit. For the density of states at the Fermi level, the calculation gives 3.60 states/eV per cell.

POSCAR file:
```
VTeSe2
1.0
7.393 -1.630 0.000
7.393 1.630 0.000
-0.071 0.000 8.815
V Te Se
2 2 4
Cartesian
2.664 0.000 0.280 V
12.051 0.000 8.535 V
5.563 0.000 4.661 Te
9.152 0.000 4.154 Te
4.790 0.000 1.532 Se
6.068 0.000 7.262 Se
8.647 0.000 1.553 Se
9.925 0.000 7.283 Se
```

=====

Entry 2:
Below is crystalline VTe4Se2 at its relaxed geometry, with properties calculated at the GGA-PBE level.

Calculated values
As for the uncorrected formation energy: 0.276 eV per atom. The raw total energy comes out at -26.7 eV per formula unit. For the density of states at the Fermi level, the calculation gives 4.68 states/eV per cell.

POSCAR file:
```
VTe4Se2
1.0
-2.542 2.542 9.501
2.542 -2.542 9.501
2.542 2.542 -9.501
V Te Se
1 4 2
Cartesian
0.000 0.000 0.000 V
2.542 0.000 0.000 Te
0.000 0.000 3.468 Te
0.000 2.542 0.000 Te
0.000 0.000 15.534 Te
0.000 0.000 5.863 Se
0.000 0.000 13.138 Se
```